# 1
Compound: InNiW2
Source: Alexandria
Functional: PBE
Structure: optimized geometry

Structure (CIF):
```
data_InNiW2
_chemical_formula_sum 'In1 Ni1 W2'
_cell_length_a 2.8217
_cell_length_b 2.8217
_cell_length_c 7.9794
_cell_angle_alpha 90.00
_cell_angle_beta 90.00
_cell_angle_gamma 90.00
_symmetry_space_group_name_H-M 'P 4/m m m'
_symmetry_Int_Tables_number 123
_symmetry_space_group_name_Hall '-P 4 2'
loop_
_atom_site_label
_atom_site_fract_x
_atom_site_fract_y
_atom_site_fract_z
In1 0.0000 0.0000 0.0000
Ni1 0.0000 0.0000 0.5000
W1 0.5000 0.5000 0.2845
```

Properties
Uncorrected energy in eV/atom: -8.201
Total magnetization in μB/f.u.: 0.00

# 2
Compound: InNi6W
Source: Alexandria
Functional: PBE
Structure: optimized geometry

Structure (CIF):
```
data_InNi6W
_chemical_formula_sum 'In8 Ni48 W8'
_cell_length_a 7.3670
_cell_length_b 10.4156
_cell_length_c 10.4502
_cell_angle_alpha 90.00
_cell_angle_beta 90.00
_cell_angle_gamma 90.00
_symmetry_space_group_name_H-M 'C m m m'
_symmetry_Int_Tables_number 65
_symmetry_space_group_name_Hall '-C 2 2'
loop_
_atom_site_label
_atom_site_fract_x
_atom_site_fract_y
_atom_site_fract_z
In1 0.0000 0.0000 0.2494
In2 0.0000 0.2465 0.5000
Ni1 0.0000 0.0000 0.0000
Ni2 0.0000 0.0000 0.5000
Ni3 0.0000 0.2550 0.2403
Ni4 0.0000 0.5000 0.0000
Ni5 0.0000 0.5000 0.5000
Ni6 0.2406 0.3776 0.3687
Ni7 0.2428 0.3726 0.1194
W1 0.0000 0.2510 0.0000
W2 0.0000 0.5000 0.2541
```

Properties
Uncorrected energy in eV/atom: -6.371
Total magnetization in μB/f.u.: 0.00

# 3
Compound: InNiW3
Source: Alexandria
Functional: PBE
Structure: optimized geometry

Structure (CIF):
```
data_InNiW3
_chemical_formula_sum 'In1 Ni1 W3'
_cell_length_a 4.5234
_cell_length_b 4.5234
_cell_length_c 4.5234
_cell_angle_alpha 90.00
_cell_angle_beta 90.00
_cell_angle_gamma 90.00
_symmetry_space_group_name_H-M 'P m -3 m'
_symmetry_Int_Tables_number 221
_symmetry_space_group_name_Hall '-P 4 2 3'
loop_
_atom_site_label
_atom_site_fract_x
_atom_site_fract_y
_atom_site_fract_z
In1 0.0000 0.0000 0.0000
Ni1 0.5000 0.5000 0.5000
W1 0.0000 0.5000 0.5000
```

Properties
Uncorrected energy in eV/atom: -8.072
Total magnetization in μB/f.u.: 0.00
Offset from the most stable computed form in meV per atom: 0.0

# 4
Compound: InNi3W
Source: Alexandria
Functional: PBE
Structure: optimized geometry

Structure (CIF):
```
data_InNi3W
_chemical_formula_sum 'In1 Ni3 W1'
_cell_length_a 4.5650
_cell_length_b 4.5650
_cell_length_c 4.5650
_cell_angle_alpha 90.00
_cell_angle_beta 90.00
_cell_angle_gamma 90.00
_symmetry_space_group_name_H-M 'P m -3 m'
_symmetry_Int_Tables_number 221
_symmetry_space_group_name_Hall '-P 4 2 3'
loop_
_atom_site_label
_atom_site_fract_x
_atom_site_fract_y
_atom_site_fract_z
In1 0.0000 0.0000 0.0000
Ni1 0.0000 0.5000 0.5000
W1 0.5000 0.5000 0.5000
```

Properties
Uncorrected energy in eV/atom: -5.415
Total magnetization in μB/f.u.: 0.00
Offset from the most stable computed form in meV per atom: 0.0

# 5
Compound: InNiW2
Source: Alexandria
Functional: PBE
Structure: optimized geometry

Structure (CIF):
```
data_InNiW2
_chemical_formula_sum 'In2 Ni2 W4'
_cell_length_a 5.3220
_cell_length_b 8.7430
_cell_length_c 2.7602
_cell_angle_alpha 90.00
_cell_angle_beta 90.00
_cell_angle_gamma 90.00
_symmetry_space_group_name_H-M 'C m m m'
_symmetry_Int_Tables_number 65
_symmetry_space_group_name_Hall '-C 2 2'
loop_
_atom_site_label
_atom_site_fract_x
_atom_site_fract_y
_atom_site_fract_z
In1 0.0000 0.0000 0.0000
Ni1 0.0000 0.5000 0.0000
W1 0.2500 0.2500 0.5000
```

Properties
Uncorrected energy in eV/atom: -8.115
Total magnetization in μB/f.u.: 0.26

# 6
Compound: InNiW2
Source: Alexandria
Functional: PBE
Structure: optimized geometry

Structure (CIF):
```
data_InNiW2
_chemical_formula_sum 'In1 Ni1 W2'
_cell_length_a 2.7601
_cell_length_b 4.2363
_cell_length_c 5.4634
_cell_angle_alpha 90.00
_cell_angle_beta 90.00
_cell_angle_gamma 90.00
_symmetry_space_group_name_H-M 'P m m m'
_symmetry_Int_Tables_number 47
loop_
_symmetry_equiv_pos_as_xyz
'x,y,z'
'-x,-y,-z'
'-x,-y,z'
'x,y,-z'
'x,-y,-z'
'-x,y,z'
'-x,y,-z'
'x,-y,z'
loop_
_atom_site_label
_atom_site_fract_x
_atom_site_fract_y
_atom_site_fract_z
In1 0.0000 0.0000 0.0000
Ni1 0.0000 0.0000 0.5000
W1 0.5000 0.5000 0.2683
```

Properties
Uncorrected energy in eV/atom: -8.187
Total magnetization in μB/f.u.: 0.00

The lowest uncorrected energy belongs to which entry?
number 1

Look up the total magnetization of the fourth one.
0.00 μB/f.u.